# 1
The following is a DFT calculation (PBE-GGA) of an optimized crystal structure of Tb4MgZn5.

a b c (Å): 3.5457 3.5457 17.5416
angles (deg): 90.00 90.00 90.00
Fractional positions:
Tb 0.0000 0.0000 0.1924
Tb 0.0000 0.0000 0.3970
Tb 0.0000 0.0000 0.6030
Tb 0.0000 0.0000 0.8076
Mg 0.0000 0.0000 0.0000
Zn 0.5000 0.5000 0.0858
Zn 0.5000 0.5000 0.2949
Zn 0.5000 0.5000 0.5000
Zn 0.5000 0.5000 0.7051
Zn 0.5000 0.5000 0.9142

Calculated values
DOS at the Fermi energy = 9.08 states/eV/cell
formation energy = -0.2927 eV per atom
DFT total energy = -0.1081 Ha/atom
space group = No. 123
magnetization = 0.00 μB/f.u.

---

# 2
The following is a DFT calculation (PBE-GGA) of an optimized crystal structure of Tb3Mg7Zn2.

a b c (Å): 5.9627 5.9627 9.9314
angles (deg): 72.53 72.53 60.00
Fractional positions:
Tb 0.0000 0.0000 0.0000
Tb 0.8575 0.8575 0.4275
Tb 0.1425 0.1425 0.5725
Mg 0.5000 0.5000 0.5000
Mg 0.9252 0.4198 0.2353
Mg 0.4198 0.9252 0.2353
Mg 0.4198 0.4198 0.2353
Mg 0.0748 0.5802 0.7647
Mg 0.5802 0.5802 0.7647
Mg 0.5802 0.0748 0.7647
Zn 0.6660 0.6660 0.0021
Zn 0.3340 0.3340 0.9979

Calculated values
DOS at the Fermi energy = 10.22 states/eV/cell
formation energy = -0.0988 eV per atom
DFT total energy = -0.0882 Ha/atom
space group = No. 166
magnetization = 0.00 μB/f.u.

---

# 3
The following is a DFT calculation (PBE-GGA) of an optimized crystal structure of Tb5MgZn6.

a b c (Å): 4.9523 8.7035 8.7035
angles (deg): 120.15 106.50 106.50
Fractional positions:
Mg 0.0000 0.0000 0.0000
Tb 0.5000 0.1622 0.8378
Tb 0.0000 0.3290 0.6710
Tb 0.5000 0.5000 0.5000
Tb 0.0000 0.6710 0.3290
Tb 0.5000 0.8378 0.1622
Zn 0.2427 0.0829 0.4034
Zn 0.7573 0.5966 0.9171
Zn 0.7425 0.2415 0.2415
Zn 0.2575 0.7585 0.7585
Zn 0.2427 0.4034 0.0829
Zn 0.7573 0.9171 0.5966

Calculated values
DOS at the Fermi energy = 10.13 states/eV/cell
formation energy = -0.3143 eV per atom
DFT total energy = -0.1107 Ha/atom
space group = No. 12
magnetization = 0.00 μB/f.u.

---

# 4
The following is a DFT calculation (PBE-GGA) of an optimized crystal structure of TbMg4Zn2.

a b c (Å): 4.4656 8.2354 8.2354
angles (deg): 90.00 90.00 90.00
Fractional positions:
Tb 0.5000 0.0000 0.0000
Tb 0.0000 0.5000 0.5000
Mg 0.0000 0.0921 0.3382
Mg 0.0000 0.9079 0.6618
Mg 0.5000 0.1618 0.5921
Mg 0.5000 0.8382 0.4079
Mg 0.5000 0.4079 0.8382
Mg 0.5000 0.5921 0.1618
Mg 0.0000 0.3382 0.0921
Mg 0.0000 0.6618 0.9079
Zn 0.0000 0.2143 0.7857
Zn 0.0000 0.7857 0.2143
Zn 0.5000 0.7143 0.7143
Zn 0.5000 0.2857 0.2857

Calculated values
DOS at the Fermi energy = 8.65 states/eV/cell
E above lowest polymorph = 27 meV per atom
formation energy = -0.1225 eV per atom
DFT total energy = -0.0757 Ha/atom
space group = No. 136
magnetization = 0.00 μB/f.u.

---

# 5
The following is a DFT calculation (PBE-GGA) of an optimized crystal structure of TbMgZr.

a b c (Å): 3.2865 4.9083 9.7772
angles (deg): 90.00 80.31 89.99
Fractional positions:
Tb 0.0017 0.2911 0.4983
Tb 0.2433 0.7911 0.0141
Mg 0.6637 0.2912 0.1697
Mg 0.5808 0.7911 0.3422
Zr 0.8371 0.2910 0.8273
Zr 0.4079 0.7911 0.6853

Calculated values
DOS at the Fermi energy = 5.39 states/eV/cell
E above lowest polymorph = 16 meV per atom
formation energy = 0.0270 eV per atom
DFT total energy = -0.1800 Ha/atom
space group = No. 11
magnetization = 0.00 μB/f.u.

---

# 6
The following is a DFT calculation (PBE-GGA) of an optimized crystal structure of Tb2MgZr.

a b c (Å): 4.6868 4.7780 4.7780
angles (deg): 90.00 90.00 90.00
Fractional positions:
Mg 0.5000 0.0000 0.0000
Tb 0.0000 0.0000 0.5000
Tb 0.0000 0.5000 0.0000
Zr 0.5000 0.5000 0.5000

Calculated values
DOS at the Fermi energy = 5.05 states/eV/cell
E above lowest polymorph = 91 meV per atom
formation energy = 0.0889 eV per atom
DFT total energy = -0.1750 Ha/atom
space group = No. 123
magnetization = 0.00 μB/f.u.

---

# 7
The following is a DFT calculation (PBE-GGA) of an optimized crystal structure of TbMgZr.

a b c (Å): 3.3165 3.3165 8.2307
angles (deg): 90.00 90.00 120.00
Fractional positions:
Mg 0.0000 0.0000 0.0128
Tb 0.3333 0.6667 0.6538
Zr 0.6667 0.3333 0.3333

Calculated values
DOS at the Fermi energy = 3.37 states/eV/cell
E above lowest polymorph = 65 meV per atom
formation energy = 0.0761 eV per atom
DFT total energy = -0.1782 Ha/atom
space group = No. 156
magnetization = 0.00 μB/f.u.

---

# 8
The following is a DFT calculation (PBE-GGA) of an optimized crystal structure of TbMgZr.

a b c (Å): 3.3754 3.3754 7.2114
angles (deg): 103.53 103.53 90.00
Fractional positions:
Mg 0.6580 0.6580 0.3160
Tb 0.3384 0.3384 0.6768
Zr 0.0036 0.0036 0.0073

Calculated values
DOS at the Fermi energy = 1.78 states/eV/cell
E above lowest polymorph = 0 meV per atom
formation energy = 0.0111 eV per atom
DFT total energy = -0.1806 Ha/atom
space group = No. 107
magnetization = 0.00 μB/f.u.

---

# 9
The following is a DFT calculation (PBE-GGA) of an optimized crystal structure of TbMg4Zr.

a b c (Å): 5.8939 5.8939 5.8939
angles (deg): 60.00 60.00 60.00
Fractional positions:
Mg 0.6257 0.6257 0.1230
Mg 0.6257 0.1230 0.6257
Mg 0.6257 0.6257 0.6257
Mg 0.1230 0.6257 0.6257
Tb 0.2500 0.2500 0.2500
Zr 0.0000 0.0000 0.0000

Calculated values
DOS at the Fermi energy = 7.44 states/eV/cell
formation energy = 0.0522 eV per atom
DFT total energy = -0.1179 Ha/atom
space group = No. 216
magnetization = 2.40 μB/f.u.

---

# 10
The following is a DFT calculation (PBE-GGA) of an optimized crystal structure of Tb4Mg3Zr.

a b c (Å): 3.5653 5.5041 11.1598
angles (deg): 90.00 90.00 90.00
Fractional positions:
Mg 0.5000 0.0000 0.2508
Mg 0.5000 0.5000 0.5000
Mg 0.5000 0.0000 0.7492
Tb 0.0000 0.0000 0.5000
Tb 0.0000 0.5000 0.7505
Tb 0.0000 0.0000 0.0000
Tb 0.0000 0.5000 0.2495
Zr 0.5000 0.5000 0.0000

Calculated values
DOS at the Fermi energy = 11.81 states/eV/cell
formation energy = 0.0091 eV per atom
DFT total energy = -0.1460 Ha/atom
space group = No. 47
magnetization = 0.00 μB/f.u.

---

# 11
The following is a DFT calculation (PBE-GGA) of an optimized crystal structure of Tb2MgZr.

a b c (Å): 3.2341 3.2341 12.3090
angles (deg): 82.45 82.45 60.00
Fractional positions:
Mg 0.5000 0.5000 0.5000
Tb 0.0873 0.0873 0.7380
Tb 0.9127 0.9127 0.2620
Zr 0.0000 0.0000 0.0000

Calculated values
DOS at the Fermi energy = 4.93 states/eV/cell
E above lowest polymorph = 318 meV per atom
formation energy = 0.3160 eV per atom
DFT total energy = -0.1667 Ha/atom
space group = No. 166
magnetization = 0.00 μB/f.u.

---

# 12
The following is a DFT calculation (PBE-GGA) of an optimized crystal structure of Tb2Mg6Zr.

a b c (Å): 3.2069 8.9378 8.9378
angles (deg): 59.99 89.98 89.98
Fractional positions:
Tb 0.0000 0.3333 0.3333
Tb 0.0000 0.6667 0.6667
Mg 0.4987 0.6748 0.0000
Mg 0.5013 0.0000 0.3252
Mg 0.5013 0.3252 0.0000
Mg 0.5000 0.6748 0.3252
Mg 0.4987 0.0000 0.6748
Mg 0.5000 0.3252 0.6748
Zr 0.0000 0.0000 0.0000

Calculated values
DOS at the Fermi energy = 6.96 states/eV/cell
formation energy = -0.0069 eV per atom
DFT total energy = -0.1120 Ha/atom
space group = No. 191
magnetization = 0.00 μB/f.u.